1.
Density functional theory data (PBE) for a relaxed Tb2CeTl3S6 crystal.

a b c (Å): 7.109 7.109 7.870
angles (deg): 98.65 98.65 119.99
Element x y z (fractional)
Tb 0.167 0.833 0.000
Tb 0.833 0.167 0.000
Ce 0.500 0.500 0.000
Tl 0.000 0.000 0.500
Tl 0.334 0.666 0.500
Tl 0.666 0.334 0.500
S 0.093 0.433 0.800
S 0.226 0.226 0.198
S 0.433 0.093 0.800
S 0.567 0.907 0.200
S 0.774 0.774 0.802
S 0.907 0.567 0.200

***

2.
Density functional theory data (PBE) for a relaxed TbCeTl2S4 crystal.

a b c (Å): 7.148 4.126 7.864
angles (deg): 90.00 107.49 90.00
Element x y z (fractional)
Tb 0.000 0.000 0.000
Ce 0.500 0.500 0.000
Tl 0.000 0.500 0.500
Tl 0.500 0.000 0.500
S 0.227 0.500 0.199
S 0.260 0.000 0.799
S 0.740 0.000 0.201
S 0.773 0.500 0.801

***

3.
Density functional theory data (PBE) for a relaxed Tb4CeTlS8 crystal.

a b c (Å): 8.361 8.361 8.361
angles (deg): 58.97 58.97 58.97
Element x y z (fractional)
Tb 0.000 0.000 0.000
Tb 0.137 0.622 0.622
Tb 0.622 0.137 0.622
Tb 0.622 0.622 0.137
Ce 0.623 0.623 0.623
Tl 0.253 0.253 0.253
S 0.389 0.389 0.827
S 0.389 0.827 0.389
S 0.393 0.393 0.393
S 0.396 0.873 0.873
S 0.827 0.389 0.389
S 0.869 0.869 0.869
S 0.873 0.396 0.873
S 0.873 0.873 0.396

***

4.
Density functional theory data (PBE) for a relaxed TbCe3Tl3S8 crystal.

a b c (Å): 8.876 8.876 8.876
angles (deg): 55.55 55.55 55.55
Element x y z (fractional)
Tb 0.000 0.000 0.000
Ce 0.000 0.500 0.500
Ce 0.500 0.000 0.500
Ce 0.500 0.500 0.000
Tl 0.000 0.000 0.500
Tl 0.000 0.500 0.000
Tl 0.500 0.000 0.000
S 0.230 0.230 0.736
S 0.230 0.736 0.230
S 0.264 0.770 0.770
S 0.266 0.266 0.266
S 0.734 0.734 0.734
S 0.736 0.230 0.230
S 0.770 0.264 0.770
S 0.770 0.770 0.264

***

5.
Density functional theory data (PBE) for a relaxed TbCeTm4S8 crystal.

a b c (Å): 8.055 8.055 8.055
angles (deg): 59.70 59.70 59.70
Element x y z (fractional)
Tb 0.000 0.000 0.000
Ce 0.626 0.626 0.626
Tm 0.000 0.000 0.499
Tm 0.000 0.499 0.000
Tm 0.374 0.374 0.374
Tm 0.499 0.000 0.000
S 0.213 0.759 0.759
S 0.242 0.242 0.242
S 0.246 0.246 0.769
S 0.246 0.769 0.246
S 0.759 0.213 0.759
S 0.759 0.759 0.213
S 0.763 0.763 0.763
S 0.769 0.246 0.246

***

6.
Density functional theory data (PBE) for a relaxed TbCe2TmS4 crystal.

a b c (Å): 6.813 3.926 6.929
angles (deg): 90.00 109.09 90.00
Element x y z (fractional)
Tb 0.000 0.000 0.000
Ce 0.000 0.500 0.500
Ce 0.500 0.000 0.500
Tm 0.500 0.500 0.000
S 0.250 0.500 0.237
S 0.259 0.000 0.765
S 0.741 0.000 0.235
S 0.750 0.500 0.763

***

7.
Density functional theory data (PBE) for a relaxed Tb2CeTm3S6 crystal.

a b c (Å): 8.738 8.738 7.855
angles (deg): 103.47 103.47 25.64
Element x y z (fractional)
Tb 0.165 0.165 0.330
Tb 0.835 0.835 0.670
Ce 0.500 0.500 0.000
Tm 0.165 0.165 0.835
Tm 0.500 0.500 0.500
Tm 0.835 0.835 0.165
S 0.002 0.002 0.739
S 0.328 0.328 0.920
S 0.334 0.334 0.412
S 0.666 0.666 0.588
S 0.672 0.672 0.080
S 0.998 0.998 0.261

***

8.
Density functional theory data (PBE) for a relaxed Tb3Ce4TmS8 crystal.

a b c (Å): 7.965 7.965 7.965
angles (deg): 59.43 59.43 59.43
Element x y z (fractional)
Tb 0.000 0.500 0.500
Tb 0.500 0.000 0.500
Tb 0.500 0.500 0.000
Ce 0.000 0.000 0.500
Ce 0.000 0.500 0.000
Ce 0.500 0.000 0.000
Ce 0.500 0.500 0.500
Tm 0.000 0.000 0.000
S 0.244 0.244 0.750
S 0.244 0.750 0.244
S 0.250 0.756 0.756
S 0.253 0.253 0.253
S 0.747 0.747 0.747
S 0.750 0.244 0.244
S 0.756 0.250 0.756
S 0.756 0.756 0.250

***

9.
Density functional theory data (PBE) for a relaxed Tb2Ce3TmS6 crystal.

a b c (Å): 6.830 6.830 6.927
angles (deg): 99.47 99.47 120.04
Element x y z (fractional)
Tb 0.166 0.834 0.000
Tb 0.834 0.166 0.000
Ce 0.000 0.000 0.500
Ce 0.332 0.668 0.500
Ce 0.668 0.332 0.500
Tm 0.500 0.500 0.000
S 0.092 0.421 0.763
S 0.251 0.251 0.239
S 0.421 0.092 0.763
S 0.579 0.908 0.237
S 0.749 0.749 0.761
S 0.908 0.579 0.237

***

10.
Density functional theory data (PBE) for a relaxed TbCe3Tm2S6 crystal.

a b c (Å): 6.793 6.793 6.926
angles (deg): 99.42 99.42 120.03
Element x y z (fractional)
Tb 0.000 0.000 0.000
Ce 0.165 0.835 0.500
Ce 0.500 0.500 0.500
Ce 0.835 0.165 0.500
Tm 0.333 0.667 0.000
Tm 0.667 0.333 0.000
S 0.078 0.416 0.235
S 0.260 0.260 0.766
S 0.416 0.078 0.235
S 0.584 0.922 0.765
S 0.740 0.740 0.234
S 0.922 0.584 0.765

***

11.
Density functional theory data (PBE) for a relaxed TbCe3Tm3S8 crystal.

a b c (Å): 7.932 7.932 7.932
angles (deg): 59.00 59.00 59.00
Element x y z (fractional)
Tb 0.000 0.000 0.000
Ce 0.000 0.000 0.500
Ce 0.000 0.500 0.000
Ce 0.500 0.000 0.000
Tm 0.000 0.500 0.500
Tm 0.500 0.000 0.500
Tm 0.500 0.500 0.000
S 0.250 0.250 0.739
S 0.250 0.739 0.250
S 0.256 0.256 0.256
S 0.261 0.750 0.750
S 0.739 0.250 0.250
S 0.744 0.744 0.744
S 0.750 0.261 0.750
S 0.750 0.750 0.261

***

12.
Density functional theory data (PBE) for a relaxed TbCe2Tm3S6 crystal.

a b c (Å): 8.792 8.792 7.904
angles (deg): 103.93 103.93 25.55
Element x y z (fractional)
Tb 0.000 0.000 0.000
Ce 0.332 0.332 0.665
Ce 0.668 0.668 0.335
Tm 0.000 0.000 0.500
Tm 0.333 0.333 0.168
Tm 0.667 0.667 0.832
S 0.162 0.162 0.593
S 0.168 0.168 0.072
S 0.496 0.496 0.253
S 0.504 0.504 0.747
S 0.832 0.832 0.928
S 0.838 0.838 0.407

***

| no. | E_tot (eV per atom) |
| --- | --- |
| 1 | -5.38 |
| 2 | -5.41 |
| 3 | -6.07 |
| 4 | -5.69 |
| 5 | -6.29 |
| 6 | -6.70 |
| 7 | -6.43 |
| 8 | -6.72 |
| 9 | -6.72 |
| 10 | -6.69 |
| 11 | -6.62 |
| 12 | -6.55 |